# 1
A plane-wave DFT calculation with PBE-GGA was carried out for a relaxed structure of ZrTe2.

Geometry as POSCAR:
```
ZrTe2
1.0
-3.251 -3.898 1.281
3.636 1.603 3.408
-2.154 2.210 1.259
Te Zr
2 1
Cartesian
0.264 0.874 3.328 Te
-2.032 -0.959 2.619 Te
0.000 0.000 0.000 Zr
```

DFT total energy ... -4.82 eV per atom
Size of the total moment ... 0.00 μB per cell
Crystal system ... hexagonal

***

# 2
A plane-wave DFT calculation with PBE-GGA was carried out for a relaxed structure of Be3InFe.

Geometry as POSCAR:
```
Be3InFe
1.0
-2.478 2.374 2.790
1.604 -2.325 3.403
3.293 2.919 0.441
In Fe Be
1 1 3
Cartesian
0.000 0.000 0.000 In
1.210 1.484 3.317 Fe
-1.239 1.187 1.395 Be
1.647 1.459 0.221 Be
0.802 -1.162 1.701 Be
```

Energy of formation ... 147.7 kJ/mol of atoms
Size of the total moment ... 2.93 μB per cell
Energy relative to the lowest polymorph listed for this composition ... 20.559 kcal/mol of atoms
Crystal system ... cubic